Entry 1:
# CePmRh PBE optimized geometry
data_CePmRh
_chemical_formula_sum 'Ce4 Pm4 Rh4'
_cell_length_a 6.001
_cell_length_b 7.011
_cell_length_c 7.981
_cell_angle_alpha 98.10
_cell_angle_beta 90.00
_cell_angle_gamma 90.00
_space_group_name_H-M_alt 'P 1'
_space_group_IT_number 1
_space_group_name_Hall 'P 1'
loop_
_atom_site_label
_atom_site_fract_x
_atom_site_fract_y
_atom_site_fract_z
_atom_site_occupancy
Ce1 0.876 0.302 0.124 1
Ce2 0.624 0.802 0.624 1
Ce3 0.124 0.698 0.876 1
Ce4 0.376 0.198 0.376 1
Pm1 0.374 0.191 0.890 1
Pm2 0.626 0.809 0.110 1
Pm3 0.874 0.309 0.610 1
Pm4 0.126 0.691 0.390 1
Rh1 0.368 0.474 0.655 1
Rh2 0.632 0.526 0.345 1
Rh3 0.132 0.974 0.155 1
Rh4 0.868 0.026 0.845 1
# Energy above the most stable polymorph in this dataset: 25 kJ/mol of formula units
# SG: P2_1/c, No. 14
# D(E_F): 2.099 states/eV/atom
# Calculated formation energy: -0.405 eV/atom



Entry 2:
# Na4Cd3AsO8 PBE optimized geometry
data_Na4Cd3AsO8
_chemical_formula_sum 'Na4 Cd3 As1 O8'
_cell_length_a 6.591
_cell_length_b 6.646
_cell_length_c 6.592
_cell_angle_alpha 119.73
_cell_angle_beta 120.00
_cell_angle_gamma 90.00
_space_group_name_H-M_alt 'P 1'
_space_group_IT_number 1
_space_group_name_Hall 'P 1'
loop_
_atom_site_label
_atom_site_fract_x
_atom_site_fract_y
_atom_site_fract_z
_atom_site_occupancy
Na1 0.500 0.000 0.000 1
Na2 0.500 0.000 0.500 1
Na3 0.000 0.000 0.000 1
Na4 0.000 0.000 0.500 1
Cd1 0.500 0.500 0.000 1
Cd2 0.500 0.500 0.500 1
Cd3 0.000 0.500 0.500 1
As1 0.000 0.500 0.000 1
O1 0.206 0.705 0.999 1
O2 0.206 0.705 0.411 1
O3 0.260 0.280 0.520 1
O4 0.794 0.705 0.999 1
O5 0.206 0.295 0.001 1
O6 0.740 0.720 0.480 1
O7 0.794 0.295 0.589 1
O8 0.794 0.295 0.001 1
# SG: R-3m, No. 166
# D(E_F): 0.683 states/eV/atom
# Energy relative to the elements, uncorrected: -1.24 eV/atom



Entry 3:
# Tm3In4Ag4 PBE optimized geometry
data_Tm3In4Ag4
_chemical_formula_sum 'Tm3 In4 Ag4'
_cell_length_a 4.410
_cell_length_b 7.627
_cell_length_c 8.815
_cell_angle_alpha 115.64
_cell_angle_beta 104.49
_cell_angle_gamma 90.00
_space_group_name_H-M_alt 'P 1'
_space_group_IT_number 1
_space_group_name_Hall 'P 1'
loop_
_atom_site_label
_atom_site_fract_x
_atom_site_fract_y
_atom_site_fract_z
_atom_site_occupancy
Tm1 0.125 0.125 0.251 1
Tm2 0.875 0.875 0.749 1
Tm3 0.000 0.500 0.000 1
In1 0.218 0.718 0.436 1
In2 0.782 0.282 0.564 1
In3 0.500 0.808 0.000 1
In4 0.500 0.192 0.000 1
Ag1 0.328 0.128 0.656 1
Ag2 0.672 0.472 0.344 1
Ag3 0.672 0.872 0.344 1
Ag4 0.328 0.528 0.656 1
# SG: Immm, No. 71
# D(E_F): 0.745 states/eV/atom
# Calculated formation energy: -0.248 eV/atom



Entry 4:
# NaSb2TeOs PBE optimized geometry
data_NaSb2TeOs
_chemical_formula_sum 'Na1 Sb2 Te1 Os1'
_cell_length_a 5.031
_cell_length_b 5.031
_cell_length_c 6.123
_cell_angle_alpha 90.00
_cell_angle_beta 90.00
_cell_angle_gamma 90.00
_space_group_name_H-M_alt 'P 1'
_space_group_IT_number 1
_space_group_name_Hall 'P 1'
loop_
_atom_site_label
_atom_site_fract_x
_atom_site_fract_y
_atom_site_fract_z
_atom_site_occupancy
Sb1 0.000 0.500 0.000 1
Sb2 0.500 0.000 0.000 1
Te1 0.000 0.000 0.500 1
Os1 0.000 0.000 0.000 1
Na1 0.500 0.500 0.500 1
# Energy above the most stable polymorph in this dataset: 0 kJ/mol of formula units
# SG: P4/mmm, No. 123
# D(E_F): 1.064 states/eV/atom
# Energy relative to the elements, uncorrected: 0.34 eV/atom